No. 1
Here is a PBEsol-optimized structure of YSc2W from Alexandria. Energies are from meta-GGA SCAN.

Cell and atoms, written as CIF:
```
data_YSc2W
_cell_length_a 9.967
_cell_length_b 3.012
_cell_length_c 5.786
_cell_angle_alpha 90.00
_cell_angle_beta 96.01
_cell_angle_gamma 90.00
_space_group_name_H-M_alt 'C 1 m 1'
_space_group_IT_number 8
loop_
_space_group_symop_operation_xyz
'x,y,z'
'x,-y,z'
'x+1/2,y+1/2,z'
'x+1/2,-y+1/2,z'
loop_
_atom_site_label
_atom_site_fract_x
_atom_site_fract_y
_atom_site_fract_z
Y1 0.000 0.000 0.000
Sc1 0.235 0.000 0.700
Sc2 0.482 0.000 0.463
W1 0.244 0.500 0.263
```

Computed properties:
Energy of formation from the pure elements, kJ/mol of formula units: 164
Calculated density, g cm⁻³: 7.0
Excess energy over the best structure of this formula in the dataset, meV per atom: 95
D(E_F), states/eV/f.u.: 3.80
V, Å³ per cell: 172.7

---

No. 2
Here is a PBEsol-optimized structure of Ba3ZnNi from Alexandria. Energies are from meta-GGA SCAN.

Cell and atoms, written as CIF:
```
data_Ba3ZnNi
_cell_length_a 6.082
_cell_length_b 6.082
_cell_length_c 6.082
_cell_angle_alpha 90.00
_cell_angle_beta 90.00
_cell_angle_gamma 90.00
_space_group_name_H-M_alt 'P m -3 m'
_space_group_IT_number 221
_space_group_name_Hall '-P 4 2 3'
loop_
_atom_site_label
_atom_site_fract_x
_atom_site_fract_y
_atom_site_fract_z
Ba1 0.000 0.000 0.500
Zn1 0.000 0.000 0.000
Ni1 0.500 0.500 0.500
```

Computed properties:
Energy of formation from the pure elements, kJ/mol of formula units: 274
Calculated density, g cm⁻³: 4.0
D(E_F), states/eV/f.u.: 7.94
V, Å³ per cell: 225.0